The following is a GGA-PBE calculation of a relaxed TaRuCO2 crystal, from the Alexandria database.

Unit cell a=3.723 b=5.696 c=3.723 alpha=90.00 beta=90.00 gamma=90.00
Each line ends with the local moment (μB).
Element x y z (fractional)
Ru (0.000, 0.500, 0.000)  1.20
C (0.500, 0.500, 0.500)  -0.13
O (0.000, 0.000, 0.500)  -0.01
O (0.500, 0.000, 0.000)  0.00
Ta (0.000, 0.000, 0.000)  -0.05

The calculation puts the volume at 15.8 Å³ per atom. The symmetry is P4/mmm (123). As for the formation energy from raw total energies: 0.130 eV per atom. The density of states at the Fermi level comes out at 1.03 states/eV/cell.